Computed, not measured: LaZn2Te after structural relaxation at the PBE-GGA level of DFT.

```
data_LaZn2Te
_chemical_formula_sum 'La1 Zn2 Te1'
_cell_length_a 4.5272
_cell_length_b 4.5243
_cell_length_c 4.8890
_cell_angle_alpha 90.00
_cell_angle_beta 90.00
_cell_angle_gamma 90.00
_symmetry_space_group_name_H-M 'P 1'
_symmetry_Int_Tables_number 1
loop_
_symmetry_equiv_pos_as_xyz
'x,y,z'
loop_
_atom_site_label
_atom_site_fract_x
_atom_site_fract_y
_atom_site_fract_z
La1 0.5000 0.0000 0.5000
Te1 0.0000 0.5000 0.5000
Zn1 0.0000 0.0000 0.0000
Zn2 0.5000 0.5000 0.0000
```

Calculated density (Mg/m³): 6.59
Space group: P4/mmm, No. 123
E_tot (eV per atom): -3.200
ΔE_f (raw) (eV per atom): -0.546
Volume (Å³/atom): 25.04



Computed, not measured: Mn2GaNi after structural relaxation at the PBE-GGA level of DFT.

```
data_Mn2GaNi
_chemical_formula_sum 'Mn2 Ga1 Ni1'
_cell_length_a 2.7270
_cell_length_b 2.7270
_cell_length_c 6.9724
_cell_angle_alpha 90.00
_cell_angle_beta 90.00
_cell_angle_gamma 90.00
_symmetry_space_group_name_H-M 'P 1'
_symmetry_Int_Tables_number 1
loop_
_symmetry_equiv_pos_as_xyz
'x,y,z'
loop_
_atom_site_label
_atom_site_fract_x
_atom_site_fract_y
_atom_site_fract_z
Ni1 0.5000 0.5000 0.0000
Mn1 0.0000 0.0000 0.7639
Mn2 0.0000 0.0000 0.2361
Ga1 0.5000 0.5000 0.5000
```

Calculated density (Mg/m³): 7.63
Space group: P4/mmm, No. 123
DFT formation energy (eV/f.u.): -0.2
E_tot (eV per atom): -6.829
Volume (Å³/atom): 12.96



Computed, not measured: LiTcIr3 after structural relaxation at the PBE-GGA level of DFT.

```
data_LiTcIr3
_chemical_formula_sum 'Li1 Tc1 Ir3'
_cell_length_a 4.0933
_cell_length_b 4.0933
_cell_length_c 4.0933
_cell_angle_alpha 90.00
_cell_angle_beta 90.00
_cell_angle_gamma 90.00
_symmetry_space_group_name_H-M 'P 1'
_symmetry_Int_Tables_number 1
loop_
_symmetry_equiv_pos_as_xyz
'x,y,z'
loop_
_atom_site_label
_atom_site_fract_x
_atom_site_fract_y
_atom_site_fract_z
Ir1 0.0000 0.5000 0.0000
Ir2 0.0000 0.0000 0.5000
Ir3 0.5000 0.0000 0.0000
Tc1 0.5000 0.5000 0.5000
Li1 0.0000 0.0000 0.0000
```

Calculated density (Mg/m³): 16.50
Space group: Pm-3m, No. 221
DFT formation energy (eV/f.u.): 4.3
E_tot (eV per atom): -6.913
Volume (Å³/atom): 13.72



Computed, not measured: Ac4NiSI2 after structural relaxation at the PBE-GGA level of DFT.

```
data_Ac4NiSI2
_chemical_formula_sum 'Ac4 Ni1 S1 I2'
_cell_length_a 4.2740
_cell_length_b 7.7695
_cell_length_c 8.7588
_cell_angle_alpha 106.83
_cell_angle_beta 90.00
_cell_angle_gamma 90.00
_symmetry_space_group_name_H-M 'P 1'
_symmetry_Int_Tables_number 1
loop_
_symmetry_equiv_pos_as_xyz
'x,y,z'
loop_
_atom_site_label
_atom_site_fract_x
_atom_site_fract_y
_atom_site_fract_z
Ac1 0.5000 0.2139 0.1879
Ac2 0.5000 0.7861 0.8121
Ac3 0.0000 0.2686 0.8047
Ac4 0.0000 0.7314 0.1953
Ni1 0.0000 0.0000 0.0000
S1 0.5000 0.5000 0.0000
I1 0.5000 0.0000 0.5000
I2 0.0000 0.5000 0.5000
```

Calculated density (Mg/m³): 7.47
Space group: P2/m, No. 10
E_tot (eV per atom): -4.756
ΔE_f (raw) (eV per atom): -1.076
Volume (Å³/atom): 34.80



Computed, not measured: Sr2AlTlAu6 after structural relaxation at the PBE-GGA level of DFT.

```
data_Sr2AlTlAu6
_chemical_formula_sum 'Sr2 Al1 Tl1 Au6'
_cell_length_a 9.2303
_cell_length_b 5.7003
_cell_length_c 7.4443
_cell_angle_alpha 67.46
_cell_angle_beta 48.36
_cell_angle_gamma 89.94
_symmetry_space_group_name_H-M 'P 1'
_symmetry_Int_Tables_number 1
loop_
_symmetry_equiv_pos_as_xyz
'x,y,z'
loop_
_atom_site_label
_atom_site_fract_x
_atom_site_fract_y
_atom_site_fract_z
Sr1 0.2751 0.7430 0.5156
Sr2 0.7249 0.2570 0.4844
Al1 0.5000 0.5000 0.0000
Tl1 0.0000 0.0000 0.0000
Au1 0.2767 0.7561 0.9862
Au2 0.7241 0.7465 0.0103
Au3 0.1053 0.2575 0.4890
Au4 0.7233 0.2439 0.0138
Au5 0.2759 0.2535 0.9897
Au6 0.8947 0.7425 0.5110
```

Calculated density (Mg/m³): 10.49
Space group: P-1, No. 2
DFT formation energy (eV/f.u.): -4.4
E_tot (eV per atom): -3.357
Volume (Å³/atom): 25.15



Computed, not measured: Mn2ZnPt6 after structural relaxation at the PBE-GGA level of DFT.

```
data_Mn2ZnPt6
_chemical_formula_sum 'Mn4 Zn2 Pt12'
_cell_length_a 3.9887
_cell_length_b 8.2479
_cell_length_c 8.2479
_cell_angle_alpha 90.00
_cell_angle_beta 90.00
_cell_angle_gamma 90.00
_symmetry_space_group_name_H-M 'P 1'
_symmetry_Int_Tables_number 1
loop_
_symmetry_equiv_pos_as_xyz
'x,y,z'
loop_
_atom_site_label
_atom_site_fract_x
_atom_site_fract_y
_atom_site_fract_z
Mn1 0.0000 0.3216 0.8217
Mn2 0.5000 0.8216 0.6783
Mn3 0.5000 0.1784 0.3217
Mn4 0.0000 0.6784 0.1783
Zn1 0.5000 0.5000 0.0000
Zn2 0.0000 0.0000 0.5000
Pt1 0.0000 0.0036 0.1715
Pt2 0.0000 0.6715 0.5036
Pt3 0.0000 0.6518 0.8482
Pt4 0.5000 0.1518 0.6518
Pt5 0.5000 0.1715 0.9964
Pt6 0.5000 0.5036 0.3285
Pt7 0.0000 0.9964 0.8285
Pt8 0.0000 0.3285 0.4964
Pt9 0.0000 0.3482 0.1518
Pt10 0.5000 0.8482 0.3482
Pt11 0.5000 0.8285 0.0036
Pt12 0.5000 0.4964 0.6715
```

Calculated density (Mg/m³): 16.47
Space group: P4_2/mnm, No. 136
DFT formation energy (eV/f.u.): -3.3
E_tot (eV per atom): -6.573
Volume (Å³/atom): 15.07